Computed, not measured: Na3MgPd2O6 after structural relaxation at the PBE-GGA level of DFT.

Properties
- Raw total energy: -122.00 eV for the cell shown
- ΔE_f (raw): -1276 meV per atom
- N(E_F): 9.87 states/eV per cell
- ρ: 4.86 g cm⁻³

Unit cell a=5.4337 b=9.4596 c=5.6411 alpha=90.00 beta=108.67 gamma=90.00
Closest atoms and distances in Å follow each position.
Space group C2/m (No. 12)
Inequivalent atoms, fractional coordinates:
Na (0.0000, 0.0000, 0.0000) x2  6 O 2.39-2.42
Na (0.0000, 0.3317, 0.0000) x4  6 O 2.39-2.43
Mg (0.0000, 0.5000, 0.5000) x2  6 O 2.13
Pd (0.0000, 0.1669, 0.5000) x4  6 O 2.10-2.11
O (0.2301, 0.0000, 0.7036) x4  2 Pd 2.11, 1 Mg 2.13
O (0.2369, 0.3319, 0.7028) x8  2 Pd 2.10-2.11, 1 Mg 2.13